1.
Compound: TbZrSi
Source: Alexandria
Functional: PBE
Structure: optimized geometry

The structure in POSCAR format:
```
TbZrSi
1.0
-2.2516 3.1246 -1.1912
-5.7941 -2.3767 -2.1036
-3.5715 1.6409 4.2333
Zr Tb Si
2 2 2
Direct
0.8277 0.5660 0.7786 Zr
0.1723 0.4340 0.2214 Zr
0.4220 0.8415 0.3145 Tb
0.5780 0.1585 0.6855 Tb
0.8684 0.1685 0.0947 Si
0.1316 0.8315 0.9053 Si
```

Computed properties:
calculated total energy	-0.24885	hartree per atom
mass density	6773	kg/m3
crystal system	monoclinic
space-group type	C2/m, No. 12
formation energy (no corrections)	-571	meV/atom
DOS(E_F)	2.512	states/eV/f.u.

---

2.
Compound: MgCr2SiMo
Source: Alexandria
Functional: PBE
Structure: optimized geometry

The structure in POSCAR format:
```
MgCr2SiMo
1.0
4.6740 0.0000 0.0000
0.0000 4.5501 0.0000
0.0000 0.0000 4.6740
Mo Cr Mg Si
1 2 1 1
Direct
0.5000 0.5000 0.5000 Mo
0.0000 0.0000 0.5000 Cr
0.5000 0.0000 0.0000 Cr
0.0000 0.0000 0.0000 Mg
0.0000 0.5000 0.0000 Si
```

Computed properties:
calculated total energy	-0.20604	hartree per atom
mass density	4215	kg/m3
crystal system	tetragonal
space-group type	P4/mmm, No. 123
formation energy (no corrections)	1812	meV/atom
DOS(E_F)	3.606	states/eV/f.u.

---

3.
Compound: TlReSb2
Source: Alexandria
Functional: PBE
Structure: optimized geometry

The structure in POSCAR format:
```
TlReSb2
1.0
3.3010 0.0000 0.0000
0.0000 3.3007 0.0282
0.0000 3.2719 8.7508
Re Sb Tl
1 2 1
Direct
0.5000 0.7500 0.7500 Re
0.0000 0.0605 0.9376 Sb
0.0000 0.4395 0.5624 Sb
0.5000 0.2500 0.2500 Tl
```

Computed properties:
calculated total energy	-0.20378	hartree per atom
mass density	11079	kg/m3
crystal system	monoclinic
space-group type	P2/m, No. 10
formation energy (no corrections)	220	meV/atom
DOS(E_F)	1.171	states/eV/f.u.

---

4.
Compound: In5Tc3
Source: Alexandria
Functional: PBE
Structure: optimized geometry

The structure in POSCAR format:
```
In5Tc3
1.0
-7.2477 -0.5242 -3.6146
6.3832 -3.9240 -3.1186
-1.2001 -4.3680 3.0398
In Tc
10 6
Direct
0.2461 0.0000 0.2500 In
0.6667 0.3333 0.0000 In
0.6667 0.3333 0.5000 In
0.3333 0.6667 0.0000 In
0.7539 0.7539 0.2500 In
0.0000 0.7539 0.7500 In
0.0000 0.2461 0.2500 In
0.3333 0.6667 0.5000 In
0.2461 0.2461 0.7500 In
0.7539 0.0000 0.7500 In
0.3938 0.0000 0.7500 Tc
0.0000 0.3938 0.7500 Tc
0.6062 0.0000 0.2500 Tc
0.0000 0.6062 0.2500 Tc
0.3938 0.3938 0.2500 Tc
0.6062 0.6062 0.7500 Tc
```

Computed properties:
formation energy	0.385	eV per atom
calculated total energy	-0.19161	hartree per atom
mass density	9264	kg/m3
crystal system	hexagonal
space-group type	P6_3/mcm, No. 193
DOS(E_F)	9.183	states/eV/f.u.

---

5.
Compound: PtRhPbAu
Source: Alexandria
Functional: PBE
Structure: optimized geometry

The structure in POSCAR format:
```
PtRhPbAu
1.0
4.6656 0.0000 0.0000
2.3328 4.0405 0.0000
2.3328 1.3468 3.8095
Au Pb Rh Pt
1 1 1 1
Direct
0.5000 0.5000 0.5000 Au
0.0000 0.0000 0.0000 Pb
0.2500 0.2500 0.2500 Rh
0.7500 0.7500 0.7500 Pt
```

Computed properties:
formation energy	0.042	eV per atom
calculated total energy	-0.18568	hartree per atom
mass density	16236	kg/m3
crystal system	cubic
space-group type	F-43m, No. 216
DOS(E_F)	2.717	states/eV/f.u.

---

6.
Compound: LuThSnAu
Source: Alexandria
Functional: PBE
Structure: optimized geometry

The structure in POSCAR format:
```
LuThSnAu
1.0
-1.9120 -1.9777 -4.4922
3.1500 -0.5530 -4.1856
1.4496 -4.8087 -1.5883
Au Sn Th Lu
1 1 1 1
Direct
0.7500 0.7500 0.7500 Au
0.2500 0.2500 0.2500 Sn
0.0000 0.0000 0.0000 Th
0.5000 0.5000 0.5000 Lu
```

Computed properties:
formation energy	-0.539	eV per atom
calculated total energy	-0.19640	hartree per atom
mass density	11611	kg/m3
crystal system	cubic
space-group type	F-43m, No. 216
DOS(E_F)	5.678	states/eV/f.u.

---

7.
Compound: Mg2FeTe
Source: Alexandria
Functional: PBE
Structure: optimized geometry

The structure in POSCAR format:
```
Mg2FeTe
1.0
3.2799 0.0000 0.0000
0.0000 3.2799 0.0000
0.0000 0.0000 7.5351
Mg Fe Te
2 1 1
Direct
0.0000 0.0000 0.9598 Mg
0.5000 0.5000 0.2446 Mg
0.5000 0.5000 0.7290 Fe
0.0000 0.0000 0.5665 Te
```

Computed properties:
calculated total energy	-0.13106	hartree per atom
mass density	4754	kg/m3
crystal system	tetragonal
space-group type	P4mm, No. 99
formation energy (no corrections)	132	meV/atom
DOS(E_F)	2.403	states/eV/f.u.

---

8.
Compound: ScCd2P
Source: Alexandria
Functional: PBE
Structure: optimized geometry

The structure in POSCAR format:
```
ScCd2P
1.0
-3.8789 -0.0575 -0.5477
0.5088 -1.8508 -3.4153
-0.2899 -4.7990 2.5574
Sc P Cd
1 1 2
Direct
0.5000 0.5000 0.0000 Sc
0.5000 0.5000 0.5000 P
0.0000 0.0000 0.2535 Cd
0.0000 0.0000 0.7465 Cd
```

Computed properties:
formation energy	-0.102	eV per atom
calculated total energy	-0.12842	hartree per atom
mass density	5975	kg/m3
crystal system	tetragonal
space-group type	P4/mmm, No. 123
DOS(E_F)	4.806	states/eV/f.u.

---

9.
Compound: AgB2
Source: Alexandria
Functional: PBE
Structure: optimized geometry

The structure in POSCAR format:
```
AgB2
1.0
2.8174 0.0000 0.5087
1.3998 2.8527 0.3255
0.0004 0.0028 8.0294
B Ag
4 2
Direct
0.7078 0.3104 0.0605 B
0.7814 0.9820 0.2405 B
0.0962 0.3780 0.2144 B
0.0227 0.7064 0.0344 B
0.6747 0.6552 0.7817 Ag
0.1300 0.0324 0.4932 Ag
```

Computed properties:
formation energy	0.213	eV per atom
calculated total energy	-0.19070	hartree per atom
mass density	6664	kg/m3
crystal system	monoclinic
space-group type	C2/m, No. 12
DOS(E_F)	0.286	states/eV/f.u.

---

10.
Compound: ZrBPdRu2
Source: Alexandria
Functional: PBE
Structure: optimized geometry

The structure in POSCAR format:
```
ZrBPdRu2
1.0
-1.0136 -2.6945 3.0343
1.1419 -3.1905 -2.4518
3.8321 0.2305 1.4847
Pd Ru B Zr
1 2 1 1
Direct
0.0000 0.0000 0.5000 Pd
0.0000 0.5000 0.0000 Ru
0.5000 0.0000 0.0000 Ru
0.0000 0.0000 0.0000 B
0.5000 0.5000 0.5000 Zr
```

Computed properties:
formation energy	-0.447	eV per atom
calculated total energy	-0.30284	hartree per atom
mass density	9468	kg/m3
crystal system	tetragonal
space-group type	P4/mmm, No. 123
DOS(E_F)	4.425	states/eV/f.u.

---

11.
Compound: Sb2IrBr2
Source: Alexandria
Functional: PBE
Structure: optimized geometry

The structure in POSCAR format:
```
Sb2IrBr2
1.0
-2.1680 -0.5939 -2.9767
2.6484 -2.1574 -1.4984
-4.0355 -9.9795 2.5932
Sb Br Ir
2 2 1
Direct
0.5657 0.5657 0.8686 Sb
0.4343 0.4343 0.1314 Sb
0.7500 0.2500 0.5000 Br
0.2500 0.7500 0.5000 Br
0.0000 0.0000 0.0000 Ir
```

Computed properties:
calculated total energy	-0.13507	hartree per atom
mass density	6610	kg/m3
crystal system	tetragonal
space-group type	I4/mmm, No. 139
formation energy (no corrections)	415	meV/atom
DOS(E_F)	2.735	states/eV/f.u.

---

12.
Compound: PrSn4Pd4
Source: Alexandria
Functional: PBE
Structure: optimized geometry

The structure in POSCAR format:
```
PrSn4Pd4
1.0
-4.7766 0.2972 4.6952
-1.5570 -6.4138 -1.1780
5.8759 -2.5541 6.1394
Pd Sn Pr
8 8 2
Direct
0.2912 0.0000 0.3252 Pd
0.7088 0.0000 0.3252 Pd
0.2088 0.5000 0.1748 Pd
0.0000 0.7088 0.6748 Pd
0.0000 0.2912 0.6748 Pd
0.5000 0.7912 0.8252 Pd
0.7912 0.5000 0.1748 Pd
0.5000 0.2088 0.8252 Pd
0.2337 0.5000 0.8715 Sn
0.0000 0.2663 0.3715 Sn
0.7337 0.0000 0.6285 Sn
0.7663 0.5000 0.8715 Sn
0.2663 0.0000 0.6285 Sn
0.5000 0.2337 0.1285 Sn
0.5000 0.7663 0.1285 Sn
0.0000 0.7337 0.3715 Sn
0.5000 0.5000 0.5000 Pr
0.0000 0.0000 0.0000 Pr
```

Computed properties:
formation energy	-0.547	eV per atom
calculated total energy	-0.18983	hartree per atom
mass density	8671	kg/m3
crystal system	tetragonal
space-group type	P4_2/nmc, No. 137
DOS(E_F)	4.503	states/eV/f.u.